# 1
# Nd2Ni9Sn, relaxed, DFT PBE
data_Nd2Ni9Sn
_chemical_formula_sum 'Nd6 Ni27 Sn3'
_space_group_name_H-M_alt 'R -3 m'
_space_group_IT_number 166
_space_group_name_Hall '-R 3 2"'
_cell_length_a 4.9508
_cell_length_b 4.9508
_cell_length_c 24.8741
_cell_angle_alpha 90.00
_cell_angle_beta 90.00
_cell_angle_gamma 120.00
loop_
_atom_site_label
_atom_site_fract_x
_atom_site_fract_y
_atom_site_fract_z
_atom_site_occupancy
Nd1 0.0000 0.0000 0.1356 1
Ni1 0.0000 0.0000 0.3328 1
Ni2 0.0000 0.0000 0.5000 1
Ni3 0.0007 0.5003 0.0808 1
Sn1 0.0000 0.0000 0.0000 1
# E_form ... -0.18 eV per atom

# 2
# CrIr6Ru, relaxed, DFT PBE
data_CrIr6Ru
_chemical_formula_sum 'Cr1 Ir6 Ru1'
_space_group_name_H-M_alt 'P 4/m m m'
_space_group_IT_number 123
_space_group_name_Hall '-P 4 2'
_cell_length_a 5.434
_cell_length_b 5.434
_cell_length_c 3.841
_cell_angle_alpha 90.00
_cell_angle_beta 90.00
_cell_angle_gamma 90.00
loop_
_atom_site_label
_atom_site_fract_x
_atom_site_fract_y
_atom_site_fract_z
_atom_site_occupancy
Cr1 0.000 0.000 0.000 1
Ir1 0.000 0.500 0.000 1
Ir2 0.248 0.248 0.500 1
Ru1 0.500 0.500 0.000 1
# E_form ... -0.10 eV per atom

# 3
# TiFe3W, relaxed, DFT PBE
data_TiFe3W
_chemical_formula_sum 'Ti1 Fe3 W1'
_space_group_name_H-M_alt 'P m -3 m'
_space_group_IT_number 221
_space_group_name_Hall '-P 4 2 3'
_cell_length_a 4.178
_cell_length_b 4.178
_cell_length_c 4.178
_cell_angle_alpha 90.00
_cell_angle_beta 90.00
_cell_angle_gamma 90.00
loop_
_atom_site_label
_atom_site_fract_x
_atom_site_fract_y
_atom_site_fract_z
_atom_site_occupancy
Ti1 0.000 0.000 0.000 1
Fe1 0.000 0.000 0.500 1
W1 0.500 0.500 0.500 1
# Energy above the lowest structure with this stoichiometry ... 0 meV per atom
# E_form ... 1.33 eV per atom

# 4
# Li3AgRh, relaxed, DFT PBE
data_Li3AgRh
_chemical_formula_sum 'Li3 Ag1 Rh1'
_space_group_name_H-M_alt 'P m -3 m'
_space_group_IT_number 221
_space_group_name_Hall '-P 4 2 3'
_cell_length_a 4.564
_cell_length_b 4.564
_cell_length_c 4.564
_cell_angle_alpha 90.00
_cell_angle_beta 90.00
_cell_angle_gamma 90.00
loop_
_atom_site_label
_atom_site_fract_x
_atom_site_fract_y
_atom_site_fract_z
_atom_site_occupancy
Li1 0.000 0.000 0.500 1
Ag1 0.500 0.500 0.500 1
Rh1 0.000 0.000 0.000 1
# Energy above the lowest structure with this stoichiometry ... 487 meV per atom
# E_form ... 0.33 eV per atom

Looking at M_tot for the records above, in order, we have 0.0, 1.3, 3.5, 0.0 μB/cell.